Entry 1:
A relaxed structure of NaInS3. Source: Alexandria via LeMat-Bulk, functional PBE.

Output
Energy above the lowest structure with this stoichiometry = 0 meV per atom
Raw total energy = -3.3346 eV per atom
Formation energy from raw total energies = -0.05 eV/atom

```
NaInS3
1.0
5.083 0.000 0.000
0.000 5.083 0.000
0.000 0.000 5.083
Na S In
1 3 1
Direct
0.500 0.500 0.500
0.000 0.500 0.000
0.000 0.000 0.500
0.500 0.000 0.000
0.000 0.000 0.000
```



Entry 2:
A relaxed structure of TmIn5Hg4. Source: Alexandria via LeMat-Bulk, functional PBE.

Output
Raw total energy = -2.0120 eV per atom
ΔH_f (0 K) = -0.0749 eV/atom

```
TmIn5Hg4
1.0
3.399 0.000 -0.824
-0.718 9.429 -2.963
0.266 -0.937 8.525
Tm In Hg
1 5 4
Direct
0.500 0.000 0.000
0.801 0.415 0.602
0.816 0.863 0.631
0.184 0.137 0.369
0.500 0.500 0.000
0.199 0.585 0.398
0.367 0.160 0.733
0.051 0.282 0.102
0.633 0.840 0.267
0.949 0.718 0.898
```



Entry 3:
A relaxed structure of VZnCuCl2. Source: Alexandria via LeMat-Bulk, functional PBE.

Output
Raw total energy = -3.5989 eV per atom
Formation energy from raw total energies = 0.04 eV/atom

```
VZnCuCl2
1.0
-2.647 0.114 3.786
-2.718 -4.315 -1.771
2.989 -2.774 2.173
Zn Cl Cu V
1 2 1 1
Direct
0.500 0.500 0.500
0.000 0.000 0.500
0.500 0.000 0.000
0.000 0.500 0.000
0.000 0.000 0.000
```



Entry 4:
A relaxed structure of Nd3Bi4Au3. Source: Alexandria via LeMat-Bulk, functional PBE.

Output
Raw total energy = -4.7007 eV per atom
ΔH_f (0 K) = -0.7348 eV/atom

```
Nd3Bi4Au3
1.0
-7.500 4.152 -2.583
0.319 -8.153 -3.687
0.073 -0.754 8.921
Nd Bi Au
6 8 6
Direct
0.875 0.250 0.125
0.625 0.750 0.375
0.250 0.125 0.875
0.750 0.375 0.625
0.125 0.875 0.250
0.375 0.625 0.750
0.680 0.500 0.000
0.500 0.000 0.680
0.000 0.680 0.500
0.820 0.820 0.820
0.500 0.000 0.180
0.180 0.500 0.000
0.000 0.180 0.500
0.320 0.320 0.320
0.375 0.250 0.625
0.125 0.750 0.875
0.250 0.625 0.375
0.750 0.875 0.125
0.625 0.375 0.250
0.875 0.125 0.750
```



Entry 5:
A relaxed structure of TaTcAu2. Source: Alexandria via LeMat-Bulk, functional PBE.

Output
Energy above the lowest structure with this stoichiometry = 174 meV per atom
Raw total energy = -7.0561 eV per atom
ΔH_f (0 K) = 0.1372 eV/atom

```
TaTcAu2
1.0
-4.183 1.076 0.294
-0.544 -1.479 -2.326
-1.481 -5.963 0.753
Au Ta Tc
2 1 1
Direct
0.000 0.002 0.997
0.000 0.498 0.503
0.500 0.250 0.250
0.500 0.750 0.750
```



Entry 6:
A relaxed structure of BeCuPb2. Source: Alexandria via LeMat-Bulk, functional PBE.

Output
Raw total energy = -3.0611 eV per atom
ΔH_f (0 K) = 0.7487 eV/atom

```
BeCuPb2
1.0
5.011 0.000 0.000
2.505 4.340 0.000
2.505 1.447 4.091
Pb Be Cu
2 1 1
Direct
0.000 0.000 0.000
0.250 0.250 0.250
0.500 0.500 0.500
0.750 0.750 0.750
```



The magnetization results, record by record, are as follows: 0.0; 0.0; 2.5; 0.0; 0.0; 0.0 μB per cell.